1.
A plane-wave DFT calculation with PBE was carried out for a geometry-optimized LaPmZr structure.

a b c (Å): 5.309 5.309 5.309
angles (deg): 60.00 60.00 60.00
Atoms (fractional coordinates):
La1 0.250 0.250 0.250
Pm1 0.750 0.750 0.750
Zr1 0.000 0.000 0.000

Computed properties:
M_tot = 2.0 μB/cell
Offset from the most stable computed form = 0.00 eV/f.u.
V = 35.27 Å³/atom


2.
A plane-wave DFT calculation with PBE was carried out for a geometry-optimized La2Pr structure.

a b c (Å): 5.591 5.591 5.591
angles (deg): 60.00 60.00 60.00
Atoms (fractional coordinates):
La1 0.250 0.250 0.250
La2 0.750 0.750 0.750
Pr1 0.000 0.000 0.000

Computed properties:
M_tot = 0.0 μB/cell
Offset from the most stable computed form = 1.31 eV/f.u.
V = 41.20 Å³/atom


3.
A plane-wave DFT calculation with PBE was carried out for a geometry-optimized La2Pr structure.

a b c (Å): 9.211 9.211 9.211
angles (deg): 60.00 60.00 60.00
Atoms (fractional coordinates):
La1 0.125 0.125 0.125
La2 0.625 0.125 0.125
La3 0.125 0.625 0.125
La4 0.125 0.125 0.625
Pr1 0.000 0.000 0.000
Pr2 0.250 0.250 0.250

Computed properties:
M_tot = 0.1 μB/cell
Offset from the most stable computed form = 4.55 eV/f.u.
V = 92.11 Å³/atom


4.
A plane-wave DFT calculation with PBE was carried out for a geometry-optimized La4Pr3 structure.

a b c (Å): 8.763 8.763 8.763
angles (deg): 109.47 109.47 109.47
Atoms (fractional coordinates):
La1 0.347 0.500 0.000
La2 0.847 0.500 0.000
La3 0.153 0.153 0.153
La4 0.500 0.000 0.347
La5 0.000 0.347 0.500
La6 0.000 0.847 0.500
La7 0.653 0.653 0.653
La8 0.500 0.000 0.847
Pr1 0.750 0.875 0.125
Pr2 0.625 0.375 0.250
Pr3 0.250 0.625 0.375
Pr4 0.375 0.250 0.625
Pr5 0.875 0.125 0.750
Pr6 0.125 0.750 0.875

Computed properties:
M_tot = 0.1 μB/cell
V = 37.00 Å³/atom
Raw total energy = -4.62 eV per atom


5.
A plane-wave DFT calculation with PBE was carried out for a geometry-optimized La2Pr structure.

a b c (Å): 6.790 6.790 6.790
angles (deg): 60.00 60.00 60.00
Atoms (fractional coordinates):
La1 0.625 0.625 0.125
La2 0.625 0.125 0.625
La3 0.125 0.625 0.625
La4 0.625 0.625 0.625
Pr1 0.000 0.000 0.000
Pr2 0.250 0.250 0.250

Computed properties:
M_tot = 0.4 μB/cell
Offset from the most stable computed form = 0.00 eV/f.u.
V = 36.90 Å³/atom


6.
A plane-wave DFT calculation with PBE was carried out for a geometry-optimized LaPr2Pt9 structure.

a b c (Å): 9.509 9.509 9.509
angles (deg): 33.44 33.44 33.44
Atoms (fractional coordinates):
La1 0.000 0.000 0.000
Pr1 0.139 0.139 0.139
Pr2 0.861 0.861 0.861
Pt1 0.586 0.586 0.081
Pt2 0.333 0.333 0.333
Pt3 0.919 0.414 0.414
Pt4 0.414 0.919 0.414
Pt5 0.500 0.500 0.500
Pt6 0.586 0.081 0.586
Pt7 0.081 0.586 0.586
Pt8 0.667 0.667 0.667
Pt9 0.414 0.414 0.919

Computed properties:
M_tot = 0.0 μB/cell
V = 19.38 Å³/atom
Raw total energy = -6.66 eV per atom


7.
A plane-wave DFT calculation with PBE was carried out for a geometry-optimized LaPrPt4 structure.

a b c (Å): 5.535 5.535 5.535
angles (deg): 60.00 60.00 60.00
Atoms (fractional coordinates):
La1 0.250 0.250 0.250
Pr1 0.000 0.000 0.000
Pt1 0.625 0.625 0.125
Pt2 0.625 0.125 0.625
Pt3 0.125 0.625 0.625
Pt4 0.625 0.625 0.625

Computed properties:
M_tot = 0.0 μB/cell
Offset from the most stable computed form = 0.00 eV/f.u.
V = 19.99 Å³/atom


8.
A plane-wave DFT calculation with PBE was carried out for a geometry-optimized La2PrPt9 structure.

a b c (Å): 9.524 9.524 9.524
angles (deg): 33.39 33.39 33.39
Atoms (fractional coordinates):
La1 0.139 0.139 0.139
La2 0.861 0.861 0.861
Pr1 0.000 0.000 0.000
Pt1 0.586 0.586 0.081
Pt2 0.333 0.333 0.333
Pt3 0.919 0.414 0.414
Pt4 0.414 0.919 0.414
Pt5 0.500 0.500 0.500
Pt6 0.586 0.081 0.586
Pt7 0.081 0.586 0.586
Pt8 0.667 0.667 0.667
Pt9 0.414 0.414 0.919

Computed properties:
M_tot = 0.0 μB/cell
V = 19.42 Å³/atom
Raw total energy = -6.68 eV per atom


9.
A plane-wave DFT calculation with PBE was carried out for a geometry-optimized LaPrPt4 structure.

a b c (Å): 5.611 5.611 9.436
angles (deg): 90.00 90.00 120.00
Atoms (fractional coordinates):
La1 0.000 0.000 0.000
La2 0.000 0.000 0.500
Pr1 0.667 0.333 0.500
Pr2 0.333 0.667 0.500
Pt1 0.667 0.333 0.000
Pt2 0.333 0.667 0.000
Pt3 0.500 0.000 0.235
Pt4 0.000 0.500 0.235
Pt5 0.500 0.500 0.235
Pt6 0.500 0.000 0.765
Pt7 0.000 0.500 0.765
Pt8 0.500 0.500 0.765

Computed properties:
M_tot = 0.0 μB/cell
Offset from the most stable computed form = 3.21 eV/f.u.
V = 21.44 Å³/atom


10.
A plane-wave DFT calculation with PBE was carried out for a geometry-optimized La2PrZn2Si4Pt2 structure.

a b c (Å): 12.917 12.917 12.917
angles (deg): 161.19 161.06 26.82
Atoms (fractional coordinates):
La1 0.646 0.146 0.500
La2 0.354 0.854 0.500
Pr1 0.000 0.000 0.000
Pt1 0.905 0.405 0.500
Pt2 0.095 0.595 0.500
Si1 0.452 0.452 0.000
Si2 0.548 0.548 0.000
Si3 0.809 0.309 0.500
Si4 0.191 0.691 0.500
Zn1 0.250 0.250 0.000
Zn2 0.750 0.750 0.000

Computed properties:
M_tot = 0.0 μB/cell
V = 20.49 Å³/atom
Raw total energy = -5.52 eV per atom


11.
A plane-wave DFT calculation with PBE was carried out for a geometry-optimized LaPr2Sn3Pt3 structure.

a b c (Å): 4.166 7.696 7.696
angles (deg): 120.00 90.00 90.00
Atoms (fractional coordinates):
La1 0.000 0.414 0.414
Pr1 0.000 0.588 0.001
Pr2 0.000 0.001 0.588
Pt1 0.500 0.665 0.333
Pt2 0.500 0.333 0.665
Pt3 0.000 0.000 0.000
Sn1 0.500 0.998 0.250
Sn2 0.500 0.751 0.751
Sn3 0.500 0.250 0.998

Computed properties:
M_tot = 0.0 μB/cell
V = 23.74 Å³/atom
Raw total energy = -6.02 eV per atom


12.
A plane-wave DFT calculation with PBE was carried out for a geometry-optimized LaPrSn2Pt4 structure.

a b c (Å): 4.650 4.650 9.415
angles (deg): 90.00 90.00 120.00
Atoms (fractional coordinates):
La1 0.000 0.000 0.000
Pr1 0.333 0.667 0.500
Pt1 0.333 0.667 0.167
Pt2 0.000 0.000 0.335
Pt3 0.000 0.000 0.665
Pt4 0.333 0.667 0.833
Sn1 0.667 0.333 0.253
Sn2 0.667 0.333 0.747

Computed properties:
M_tot = 0.0 μB/cell
V = 22.04 Å³/atom
Raw total energy = -6.18 eV per atom


13.
A plane-wave DFT calculation with PBE was carried out for a geometry-optimized LaPrTl2Pt4 structure.

a b c (Å): 4.717 4.717 9.300
angles (deg): 90.00 90.00 120.00
Atoms (fractional coordinates):
La1 0.000 0.000 0.000
Pr1 0.667 0.333 0.500
Pt1 0.667 0.333 0.156
Pt2 0.000 0.000 0.345
Pt3 0.000 0.000 0.655
Pt4 0.667 0.333 0.844
Tl1 0.333 0.667 0.252
Tl2 0.333 0.667 0.748

Computed properties:
M_tot = 0.0 μB/cell
V = 22.40 Å³/atom
Raw total energy = -5.55 eV per atom


14.
A plane-wave DFT calculation with PBE was carried out for a geometry-optimized LaPrPu structure.

a b c (Å): 5.246 5.246 5.246
angles (deg): 60.00 60.00 60.00
Atoms (fractional coordinates):
La1 0.000 0.000 0.000
Pr1 0.250 0.250 0.250
Pu1 0.750 0.750 0.750

Computed properties:
M_tot = 6.6 μB/cell
Offset from the most stable computed form = 0.00 eV/f.u.
V = 34.03 Å³/atom


15.
A plane-wave DFT calculation with PBE was carried out for a geometry-optimized LaPr3S6 structure.

a b c (Å): 11.445 4.162 11.761
angles (deg): 90.00 108.16 90.00
Atoms (fractional coordinates):
La1 0.453 0.250 0.310
La2 0.547 0.750 0.690
Pr1 0.661 0.750 0.085
Pr2 0.063 0.250 0.169
Pr3 0.818 0.250 0.496
Pr4 0.182 0.750 0.504
Pr5 0.937 0.750 0.831
Pr6 0.339 0.250 0.915
S1 0.899 0.750 0.062
S2 0.416 0.750 0.098
S3 0.688 0.250 0.249
S4 0.242 0.750 0.275
S5 0.022 0.250 0.390
S6 0.612 0.750 0.461
S7 0.388 0.250 0.539
S8 0.978 0.750 0.610
S9 0.758 0.250 0.725
S10 0.312 0.750 0.751
S11 0.584 0.250 0.902
S12 0.101 0.250 0.938

Computed properties:
M_tot = 0.0 μB/cell
V = 26.61 Å³/atom
Raw total energy = -6.47 eV per atom


16.
A plane-wave DFT calculation with PBE was carried out for a geometry-optimized La3PrS6 structure.

a b c (Å): 11.447 4.187 11.806
angles (deg): 90.00 107.40 90.00
Atoms (fractional coordinates):
La1 0.184 0.750 0.007
La2 0.932 0.750 0.329
La3 0.338 0.250 0.417
La4 0.662 0.750 0.583
La5 0.068 0.250 0.671
La6 0.816 0.250 0.993
Pr1 0.546 0.750 0.187
Pr2 0.454 0.250 0.813
S1 0.391 0.250 0.041
S2 0.975 0.750 0.108
S3 0.754 0.250 0.221
S4 0.315 0.750 0.253
S5 0.584 0.250 0.400
S6 0.097 0.250 0.435
S7 0.903 0.750 0.565
S8 0.416 0.750 0.600
S9 0.685 0.250 0.747
S10 0.246 0.750 0.779
S11 0.025 0.250 0.892
S12 0.609 0.750 0.959

Computed properties:
M_tot = 0.0 μB/cell
V = 27.00 Å³/atom
Raw total energy = -6.56 eV per atom


17.
A plane-wave DFT calculation with PBE was carried out for a geometry-optimized LaPrS4 structure.

a b c (Å): 4.018 4.018 8.279
angles (deg): 90.00 90.00 90.00
Atoms (fractional coordinates):
La1 0.000 0.000 0.276
Pr1 0.500 0.500 0.725
S1 0.500 0.500 0.367
S2 0.000 0.000 0.634
S3 0.500 0.000 0.999
S4 0.000 0.500 0.999

Computed properties:
M_tot = 0.0 μB/cell
V = 22.28 Å³/atom
Raw total energy = -6.09 eV per atom


18.
A plane-wave DFT calculation with PBE was carried out for a geometry-optimized LaPrS2 structure.

a b c (Å): 4.127 4.127 5.833
angles (deg): 90.00 90.00 90.00
Atoms (fractional coordinates):
La1 0.000 0.000 0.000
Pr1 0.500 0.500 0.500
S1 0.500 0.500 0.000
S2 0.000 0.000 0.500

Computed properties:
M_tot = 0.0 μB/cell
V = 24.84 Å³/atom
Raw total energy = -6.59 eV per atom


19.
A plane-wave DFT calculation with PBE was carried out for a geometry-optimized LaPrSb2S2 structure.

a b c (Å): 4.182 4.182 9.024
angles (deg): 90.00 90.00 90.00
Atoms (fractional coordinates):
La1 0.500 0.500 0.691
Pr1 0.000 0.000 0.307
S1 0.500 0.500 0.371
S2 0.000 0.000 0.629
Sb1 0.500 0.000 0.002
Sb2 0.000 0.500 0.002

Computed properties:
M_tot = 0.0 μB/cell
V = 26.31 Å³/atom
Raw total energy = -5.89 eV per atom


20.
A plane-wave DFT calculation with PBE was carried out for a geometry-optimized LaPrSb2 structure.

a b c (Å): 4.561 4.561 12.085
angles (deg): 90.00 90.00 90.00
Atoms (fractional coordinates):
La1 0.000 0.500 0.293
La2 0.500 0.000 0.707
Pr1 0.000 0.000 0.000
Pr2 0.500 0.500 0.000
Sb1 0.500 0.000 0.198
Sb2 0.000 0.000 0.500
Sb3 0.500 0.500 0.500
Sb4 0.000 0.500 0.802

Computed properties:
M_tot = 0.2 μB/cell
V = 31.42 Å³/atom
Raw total energy = -5.35 eV per atom


21.
A plane-wave DFT calculation with PBE was carried out for a geometry-optimized LaPrSb structure.

a b c (Å): 5.322 5.322 5.322
angles (deg): 60.00 60.00 60.00
Atoms (fractional coordinates):
La1 0.000 0.000 0.000
Pr1 0.500 0.500 0.500
Sb1 0.750 0.750 0.750

Computed properties:
M_tot = 0.0 μB/cell
V = 35.54 Å³/atom
Raw total energy = -5.30 eV per atom


22.
A plane-wave DFT calculation with PBE was carried out for a geometry-optimized LaPr2Sb3 structure.

a b c (Å): 4.576 4.576 11.237
angles (deg): 90.00 90.00 120.00
Atoms (fractional coordinates):
La1 0.000 0.000 0.500
Pr1 0.667 0.333 0.166
Pr2 0.333 0.667 0.834
Sb1 0.000 0.000 0.000
Sb2 0.333 0.667 0.332
Sb3 0.667 0.333 0.668

Computed properties:
M_tot = 0.0 μB/cell
V = 33.96 Å³/atom
Raw total energy = -5.70 eV per atom


23.
A plane-wave DFT calculation with PBE was carried out for a geometry-optimized LaPrSb2Se2 structure.

a b c (Å): 4.262 4.262 9.232
angles (deg): 90.00 90.00 90.00
Atoms (fractional coordinates):
La1 0.000 0.000 0.298
Pr1 0.500 0.500 0.704
Sb1 0.500 0.000 0.999
Sb2 0.000 0.500 0.999
Se1 0.500 0.500 0.370
Se2 0.000 0.000 0.630

Computed properties:
M_tot = 0.0 μB/cell
V = 27.95 Å³/atom
Raw total energy = -5.62 eV per atom


24.
A plane-wave DFT calculation with PBE was carried out for a geometry-optimized LaPr3Se7 structure.

a b c (Å): 10.730 7.324 7.324
angles (deg): 35.01 90.00 90.00
Atoms (fractional coordinates):
La1 0.000 0.980 0.980
Pr1 0.241 0.708 0.708
Pr2 0.759 0.708 0.708
Pr3 0.500 0.991 0.991
Se1 0.248 0.068 0.068
Se2 0.752 0.068 0.068
Se3 0.000 0.327 0.327
Se4 0.386 0.348 0.348
Se5 0.614 0.348 0.348
Se6 0.000 0.617 0.617
Se7 0.500 0.634 0.634

Computed properties:
M_tot = 0.0 μB/cell
V = 30.02 Å³/atom
Raw total energy = -5.58 eV per atom